VASP calculation (PBE) on Ac4PuTe6 after structural relaxation.

Summary:
raw formation energy = -15.27 eV per formula unit
electronic total energy = -5.8988 eV/atom
total magnetic moment = 12.8 μB per cell

Cell: 9.2297 9.2297 9.2297 Å, 90.47 90.47 90.47°
Last column: nearest neighbours and their distance in Å.
Fractional positions:
Ac 0.1392 0.7500 0.3608  8 Te 3.40-3.61
Ac 0.2500 0.2500 0.2500  6 Te 3.32
Ac 0.2500 0.6392 0.8608  8 Te 3.40-3.61
Ac 0.3608 0.1392 0.7500  8 Te 3.40-3.61
Ac 0.6392 0.8608 0.2500  8 Te 3.40-3.61
Ac 0.7500 0.3608 0.1392  8 Te 3.40-3.61
Ac 0.7500 0.7500 0.7500  6 Te 3.32
Ac 0.8608 0.2500 0.6392  8 Te 3.40-3.61
Pu 0.0000 0.0000 0.0000  6 Te 3.10
Pu 0.5000 0.5000 0.5000  6 Te 3.10
Te 0.0610 0.9181 0.6797  1 Pu 3.10, 2 Ac 3.32-3.40
Te 0.0819 0.3203 0.9390  1 Pu 3.10, 2 Ac 3.32-3.40
Te 0.1797 0.4181 0.5610  1 Pu 3.10, 2 Ac 3.32-3.40
Te 0.3203 0.9390 0.0819  1 Pu 3.10, 2 Ac 3.32-3.40
Te 0.4181 0.5610 0.1797  1 Pu 3.10, 2 Ac 3.32-3.40
Te 0.4390 0.8203 0.5819  1 Pu 3.10, 2 Ac 3.32-3.40
Te 0.5610 0.1797 0.4181  1 Pu 3.10, 2 Ac 3.32-3.40
Te 0.5819 0.4390 0.8203  1 Pu 3.10, 2 Ac 3.32-3.40
Te 0.6797 0.0610 0.9181  1 Pu 3.10, 2 Ac 3.32-3.40
Te 0.8203 0.5819 0.4390  1 Pu 3.10, 2 Ac 3.32-3.40
Te 0.9181 0.6797 0.0610  1 Pu 3.10, 2 Ac 3.32-3.40
Te 0.9390 0.0819 0.3203  1 Pu 3.10, 2 Ac 3.32-3.40